Here is CsSr3Ca at its PBEsol-relaxed geometry from the Alexandria database. Energies are from SCAN.

Density of states at the Fermi level ... 2.17 states/eV per cell
SG ... No. 221
ΔE_f ... 3.4 eV per formula unit

Lattice parameters (Å, degrees): 6.473 6.473 6.473 90.00 90.00 90.00
Fractional coordinates of all 5 atoms:
1 Cs 0.000 0.000 0.000
2 Sr 0.000 0.000 0.500
3 Sr 0.000 0.500 0.000
4 Sr 0.500 0.000 0.000
5 Ca 0.500 0.500 0.500